1.
Material: PbSe
Method: DFT, GGA-PBE
State: relaxed

Cell and atoms, written as extended XYZ:
```
4
Lattice="6.703 0.016 -0.013 3.506 5.712 0.013 -4.573 -3.812 3.080" Properties=species:S:1:pos:R:3 pbc="T T T"
Pb 3.288 2.469 0.773
Pb 2.349 -0.553 2.307
Se 4.920 -0.360 0.760
Se 0.716 2.276 2.320
```

Output
- ΔE_f (raw): -6.4 kcal/mol of atoms
- ρ: 8.06 g/cm³

2.
Material: PbSe
Method: DFT, GGA-PBE
State: relaxed

Cell and atoms, written as extended XYZ:
```
4
Lattice="-6.998 -5.796 -1.870 -4.732 -7.923 0.941 -7.475 -5.025 2.221" Properties=species:S:1:pos:R:3 pbc="T T T"
Pb -18.951 -18.497 1.275
Pb -14.657 -14.305 0.986
Se -9.314 -9.091 0.627
Se -5.089 -4.967 0.343
```

Output
- ΔE_f (raw): -8.4 kcal/mol of atoms
- ρ: 6.98 g/cm³

3.
Material: PbSe2
Method: DFT, GGA-PBE
State: relaxed

Cell and atoms, written as extended XYZ:
```
3
Lattice="-1.476 -4.806 0.157 2.204 -3.406 -2.973 3.021 -3.495 1.989" Properties=species:S:1:pos:R:3 pbc="T T T"
Pb 0.000 0.000 0.000
Se 0.937 -2.927 -0.207
Se 2.812 -8.780 -0.621
```

Output
- ΔE_f (raw): 2.4 kcal/mol of atoms
- ρ: 6.74 g/cm³

4.
Material: Pb4Se
Method: DFT, GGA-PBE
State: relaxed

Cell and atoms, written as extended XYZ:
```
5
Lattice="5.704 0.000 0.000 0.000 5.704 0.000 0.000 0.000 5.704" Properties=species:S:1:pos:R:3 pbc="T T T"
Pb 0.000 0.000 0.000
Pb 2.852 0.000 2.852
Pb 0.000 2.852 2.852
Pb 2.852 2.852 0.000
Se 2.852 2.852 2.852
```

Output
- ΔE_f (raw): 4.0 kcal/mol of atoms
- ρ: 8.12 g/cm³

Copy entry 1 word for word.
Material: PbSe
Method: DFT, GGA-PBE
State: relaxed

Cell and atoms, written as extended XYZ:
```
4
Lattice="6.703 0.016 -0.013 3.506 5.712 0.013 -4.573 -3.812 3.080" Properties=species:S:1:pos:R:3 pbc="T T T"
Pb 3.288 2.469 0.773
Pb 2.349 -0.553 2.307
Se 4.920 -0.360 0.760
Se 0.716 2.276 2.320
```

Output
- ΔE_f (raw): -6.4 kcal/mol of atoms
- ρ: 8.06 g/cm³

Q: The highest ΔE_f (raw) belongs to which entry?
A: Pb4Se

Q: Which of these has the lowest ΔE_f (raw)?
A: number 2